# 1
This record from Alexandria via LeMat-Bulk describes a crystal of ZrVMo relaxed with PBEsol. The functional is SCAN.

a = 5.187 Å, b = 5.221 Å, c = 5.221 Å
α = 60.84°, β = 60.21°, γ = 60.21°
Fractional coordinates of all 6 atoms:
Mo 0.000 0.000 0.500
Mo 0.500 0.000 0.500
Zr 0.875 0.375 0.875
Zr 0.125 0.625 0.125
V 0.500 0.500 0.500
V 0.500 0.000 0.000

Values from the calculation:
formation energy	-12	kJ/mol of atoms
space-group type	No. 74

***

# 2
This record from Alexandria via LeMat-Bulk describes a crystal of MoW3 relaxed with PBEsol. The functional is SCAN.

a = 2.730 Å, b = 5.215 Å, c = 5.215 Å
α = 117.02°, β = 100.05°, γ = 100.05°
Fractional coordinates of all 4 atoms:
Mo 0.000 0.000 0.000
W 0.500 0.500 0.000
W 0.000 0.500 0.500
W 0.500 0.000 0.500

Values from the calculation:
excess energy over the best structure of this formula in the dataset	0.0042	eV/atom
formation energy	0	kJ/mol of atoms
space-group type	No. 166

***

# 3
This record from Alexandria via LeMat-Bulk describes a crystal of MoW3 relaxed with PBEsol. The functional is SCAN.

a = 2.723 Å, b = 4.455 Å, c = 5.215 Å
α = 90.00°, β = 100.07°, γ = 90.00°
Fractional coordinates of all 4 atoms:
Mo 0.000 0.000 0.000
W 0.248 0.500 0.750
W 0.500 0.000 0.500
W 0.752 0.500 0.250

Values from the calculation:
excess energy over the best structure of this formula in the dataset	0.0027	eV/atom
formation energy	0	kJ/mol of atoms
space-group type	No. 10

***

# 4
This record from Alexandria via LeMat-Bulk describes a crystal of MoW2 relaxed with PBEsol. The functional is SCAN.

a = 2.728 Å, b = 4.443 Å, c = 4.443 Å
α = 120.00°, β = 90.00°, γ = 90.00°
Fractional coordinates of all 3 atoms:
Mo 0.000 0.000 0.000
W 0.669 0.667 0.333
W 0.331 0.333 0.667

Values from the calculation:
excess energy over the best structure of this formula in the dataset	0.0030	eV/atom
formation energy	0	kJ/mol of atoms
space-group type	No. 164

***

# 5
This record from Alexandria via LeMat-Bulk describes a crystal of MoW relaxed with PBEsol. The functional is SCAN.

a = 3.140 Å, b = 3.140 Å, c = 6.282 Å
α = 90.00°, β = 90.00°, γ = 90.00°
Fractional coordinates of all 4 atoms:
Mo 0.500 0.000 0.876
Mo 0.000 0.500 0.124
W 0.500 0.000 0.374
W 0.000 0.500 0.626

Values from the calculation:
excess energy over the best structure of this formula in the dataset	0.0087	eV/atom
formation energy	0	kJ/mol of atoms
space-group type	No. 129

***

# 6
This record from Alexandria via LeMat-Bulk describes a crystal of Mo2W relaxed with PBEsol. The functional is SCAN.

a = 3.137 Å, b = 3.137 Å, c = 5.194 Å
α = 107.60°, β = 107.60°, γ = 89.95°
Fractional coordinates of all 3 atoms:
Mo 0.333 0.333 0.666
Mo 0.667 0.667 0.334
W 0.000 0.000 0.000

Values from the calculation:
excess energy over the best structure of this formula in the dataset	0.0017	eV/atom
formation energy	-1	kJ/mol of atoms
space-group type	No. 139

***

# 7
This record from Alexandria via LeMat-Bulk describes a crystal of Mo2W relaxed with PBEsol. The functional is SCAN.

a = 2.719 Å, b = 4.432 Å, c = 4.432 Å
α = 120.00°, β = 90.00°, γ = 90.00°
Fractional coordinates of all 3 atoms:
Mo 0.664 0.333 0.667
Mo 0.336 0.667 0.333
W 0.000 0.000 0.000

Values from the calculation:
excess energy over the best structure of this formula in the dataset	0.0016	eV/atom
formation energy	-1	kJ/mol of atoms
space-group type	No. 164

***

# 8
This record from Alexandria via LeMat-Bulk describes a crystal of Mo2W3 relaxed with PBEsol. The functional is SCAN.

a = 2.967 Å, b = 2.967 Å, c = 10.583 Å
α = 81.94°, β = 81.94°, γ = 60.00°
Fractional coordinates of all 5 atoms:
Mo 0.600 0.600 0.199
Mo 0.400 0.400 0.801
W 0.000 0.000 0.000
W 0.800 0.800 0.601
W 0.200 0.200 0.399

Values from the calculation:
formation energy	41	kJ/mol of atoms
space-group type	No. 166